Run A
A geometry-optimized Pm3SmIn structure, computed with GGA-PBE.

The structure in POSCAR format:
```
Pm3SmIn
1.0
2.4567 -12.8942 0.0000
2.4567 12.8942 0.0000
0.0000 0.0000 4.9135
Pm Sm In
6 2 2
direct
0.0531 0.9469 0.7500
0.2493 0.7507 0.7500
0.4473 0.5527 0.7500
0.5527 0.4473 0.2500
0.7507 0.2493 0.2500
0.9469 0.0531 0.2500
0.1509 0.8491 0.2500
0.8491 0.1509 0.7500
0.3466 0.6534 0.2500
0.6534 0.3466 0.7500
```

- SG = Cmcm

Run B
A geometry-optimized Pm3SmIn structure, computed with GGA-PBE.

The structure in POSCAR format:
```
Pm3SmIn
1.0
4.7898 2.7654 4.1313
-4.7898 2.7654 4.1313
0.0000 -5.5308 4.1313
Pm Sm In
6 2 2
direct
0.0833 0.4167 0.7500
0.2500 0.9167 0.5833
0.4167 0.7500 0.0833
0.5833 0.2500 0.9167
0.7500 0.0833 0.4167
0.9167 0.5833 0.2500
0.0000 0.0000 0.0000
0.5000 0.5000 0.5000
0.2500 0.2500 0.2500
0.7500 0.7500 0.7500
```

- SG = R-3c

Top of the stability list: run A, leading by 0.145 eV/atom.

Run A
A geometry-optimized Pm2Sm4In structure, computed with GGA-PBE.

The structure in POSCAR format:
```
Pm2Sm4In
1.0
1.8369 1.0605 19.8914
-1.8369 1.0605 19.8914
0.0000 -2.1210 19.8914
Pm Sm In
2 4 1
direct
0.1916 0.1916 0.1916
0.8084 0.8084 0.8084
0.0921 0.0921 0.0921
0.2908 0.2908 0.2908
0.7092 0.7092 0.7092
0.9079 0.9079 0.9079
0.0000 0.0000 0.0000
```

- SG = R-3m

Run B
A geometry-optimized Pm2Sm4In structure, computed with GGA-PBE.

The structure in POSCAR format:
```
Pm2Sm4In
1.0
6.5820 0.0000 0.0000
0.0000 6.3868 0.0000
0.0000 0.0000 10.9078
Pm Sm In
4 8 2
direct
0.0000 0.2458 0.0412
0.0000 0.7542 0.9588
0.5000 0.2458 0.4588
0.5000 0.7542 0.5412
0.0000 0.0681 0.3465
0.0000 0.9319 0.6535
0.2500 0.3989 0.7500
0.2500 0.6011 0.2500
0.5000 0.0681 0.1535
0.5000 0.9319 0.8465
0.7500 0.3989 0.7500
0.7500 0.6011 0.2500
0.0000 0.5000 0.5000
0.5000 0.5000 0.0000
```

- SG = Pmna

Top of the stability list: run A, leading by 0.024 eV/atom.

Run A
A geometry-optimized PmInSn structure, computed with GGA-PBE.

The structure in POSCAR format:
```
PmInSn
1.0
7.2516 0.0000 0.0000
0.0000 7.2516 0.0000
0.0000 0.0000 7.2516
Pm In Sn
4 4 4
direct
0.0259 0.0259 0.0259
0.4741 0.9741 0.5259
0.5259 0.4741 0.9741
0.9741 0.5259 0.4741
0.0109 0.9891 0.4891
0.4891 0.0109 0.9891
0.5109 0.5109 0.5109
0.9891 0.4891 0.0109
0.2180 0.7180 0.7820
0.2820 0.2820 0.2820
0.7180 0.7820 0.2180
0.7820 0.2180 0.7180
```

- SG = P2_13

Run B
A geometry-optimized PmInSn structure, computed with GGA-PBE.

The structure in POSCAR format:
```
PmInSn
1.0
-2.1934 2.1934 4.5768
2.1934 -2.1934 4.5768
2.1934 2.1934 -4.5768
Pm In Sn
1 1 1
direct
0.0000 0.0000 0.0000
0.6623 0.6623 0.0000
0.3429 0.3429 0.0000
```

- SG = I4mm

Top of the stability list: run B, leading by 0.055 eV/atom.

Run A
A geometry-optimized PmInSn structure, computed with GGA-PBE.

The structure in POSCAR format:
```
PmInSn
1.0
3.0299 -4.2988 0.0000
3.0299 4.2988 0.0000
0.0000 0.0000 6.4549
Pm In Sn
2 2 2
direct
0.1735 0.8265 0.7500
0.8265 0.1735 0.2500
0.1915 0.8085 0.2500
0.8085 0.1915 0.7500
0.5000 0.5000 0.0000
0.5000 0.5000 0.5000
```

- SG = Cmcm

Run B
A geometry-optimized PmInSn structure, computed with GGA-PBE.

The structure in POSCAR format:
```
PmInSn
1.0
3.1614 -3.1613 0.0000
3.1614 3.1613 0.0000
-0.0089 0.0000 8.4060
Pm In Sn
2 2 2
direct
0.2495 0.2495 0.1786
0.7505 0.7505 0.8214
0.2494 0.7506 0.5000
0.7506 0.2494 0.5000
0.2506 0.2506 0.8013
0.7494 0.7494 0.1987
```

- SG = C2/m

Top of the stability list: run B, leading by 0.068 eV/atom.

Run A
A geometry-optimized Pm2InSn4 structure, computed with GGA-PBE.

The structure in POSCAR format:
```
Pm2InSn4
1.0
0.0000 4.6750 4.6874
4.6190 0.0000 4.6874
4.6190 4.6750 0.0000
Pm In Sn
2 1 4
direct
0.0000 0.5000 0.0000
0.5000 0.0000 0.5000
0.0000 0.0000 0.0000
0.0000 0.0000 0.5000
0.0000 0.5000 0.5000
0.5000 0.0000 0.0000
0.5000 0.5000 0.0000
```

- SG = Fmmm

Run B
A geometry-optimized Pm2InSn4 structure, computed with GGA-PBE.

The structure in POSCAR format:
```
Pm2InSn4
1.0
4.4984 0.0000 0.0000
0.0000 4.4984 0.0000
0.0000 0.0000 9.9682
Pm In Sn
2 1 4
direct
0.0000 0.5000 0.2481
0.5000 0.0000 0.7519
0.5000 0.5000 0.0000
0.0000 0.0000 0.5000
0.0000 0.5000 0.8036
0.5000 0.0000 0.1964
0.5000 0.5000 0.5000
```

- SG = P-4m2

Top of the stability list: run A, leading by 0.034 eV/atom.

Run A
A geometry-optimized Pm3In2Sn structure, computed with GGA-PBE.

The structure in POSCAR format:
```
Pm3In2Sn
1.0
3.3671 -5.8551 0.0000
3.3671 5.8551 0.0000
-2.2358 0.0000 9.4496
Pm In Sn
6 4 2
direct
0.0710 0.4088 0.7457
0.2253 0.2253 0.2303
0.4088 0.0710 0.7457
0.5912 0.9290 0.2543
0.7747 0.7747 0.7697
0.9290 0.5912 0.2543
0.0000 0.0000 0.5000
0.3529 0.6471 0.5000
0.5000 0.5000 0.0000
0.6471 0.3529 0.5000
0.1839 0.8161 0.0000
0.8161 0.1839 0.0000
```

- SG = C2/m

Run B
A geometry-optimized Pm3In2Sn structure, computed with GGA-PBE.

The structure in POSCAR format:
```
Pm3In2Sn
1.0
2.5376 -7.6170 0.0000
2.5376 7.6170 0.0000
0.0000 0.0000 4.3911
Pm In Sn
3 2 1
direct
0.0000 0.0000 0.0000
0.3353 0.6647 0.0000
0.6647 0.3353 0.0000
0.1710 0.8290 0.5000
0.8290 0.1710 0.5000
0.5000 0.5000 0.5000
```

- SG = Cmmm

Top of the stability list: run B, leading by 0.171 eV/atom.

Run A
A geometry-optimized Pm3InSn2 structure, computed with GGA-PBE.

The structure in POSCAR format:
```
Pm3InSn2
1.0
12.7159 0.0000 0.0000
0.0000 4.6671 0.0000
0.0000 0.0000 12.0676
Pm In Sn
12 4 8
direct
0.0425 0.2500 0.1216
0.1333 0.7500 0.5709
0.2062 0.2500 0.8086
0.2938 0.7500 0.3086
0.3667 0.2500 0.0709
0.4575 0.7500 0.6216
0.5425 0.2500 0.3784
0.6333 0.7500 0.9291
0.7062 0.2500 0.6914
0.7938 0.7500 0.1914
0.8667 0.2500 0.4291
0.9575 0.7500 0.8784
0.1384 0.2500 0.3666
0.3616 0.7500 0.8666
0.6384 0.2500 0.1334
0.8616 0.7500 0.6334
0.0078 0.7500 0.3171
0.1836 0.7500 0.0215
0.3164 0.2500 0.5215
0.4922 0.2500 0.8171
0.5078 0.7500 0.1829
0.6836 0.7500 0.4785
0.8164 0.2500 0.9785
0.9922 0.2500 0.6829
```

- SG = Pnma

Run B
A geometry-optimized Pm3InSn2 structure, computed with GGA-PBE.

The structure in POSCAR format:
```
Pm3InSn2
1.0
3.5355 0.0000 0.0000
0.0000 3.5355 0.0000
0.0000 0.0000 13.5079
Pm In Sn
3 1 2
direct
0.0000 0.0000 0.0000
0.0000 0.0000 0.3317
0.0000 0.0000 0.6683
0.5000 0.5000 0.5000
0.5000 0.5000 0.1665
0.5000 0.5000 0.8335
```

- SG = P4/mmm

Top of the stability list: run A, leading by 0.009 eV/atom.

Run A
A geometry-optimized PmIn2Sn2 structure, computed with GGA-PBE.

The structure in POSCAR format:
```
PmIn2Sn2
1.0
-2.1661 2.1661 7.7594
2.1661 -2.1661 7.7594
2.1661 2.1661 -7.7594
Pm In Sn
1 2 2
direct
0.0000 0.0000 0.0000
0.2500 0.7500 0.5000
0.7500 0.2500 0.5000
0.4052 0.4052 0.0000
0.5948 0.5948 0.0000
```

- SG = I4/mmm

Run B
A geometry-optimized PmIn2Sn2 structure, computed with GGA-PBE.

The structure in POSCAR format:
```
PmIn2Sn2
1.0
2.2445 -13.1989 0.0000
2.2445 13.1989 0.0000
0.0000 0.0000 4.5409
Pm In Sn
2 4 4
direct
0.1532 0.8468 0.7500
0.8468 0.1532 0.2500
0.0515 0.9485 0.2500
0.4516 0.5484 0.2500
0.5484 0.4516 0.7500
0.9485 0.0515 0.7500
0.2502 0.7498 0.2500
0.3558 0.6442 0.7500
0.6442 0.3558 0.2500
0.7498 0.2502 0.7500
```

- SG = Cmcm

Top of the stability list: run B, leading by 0.165 eV/atom.